Material: ZrRhSe2N
Method: DFT, PBE
State: relaxed

Unit cell a=5.273 b=5.273 c=3.965 alpha=90.00 beta=90.00 gamma=90.00
Last column: magnetic moment on the atom in μB.
Fractional positions:
Se: 0.500 0.000 0.000  -0.05
Se: 0.000 0.500 0.000  -0.05
N: 0.000 0.000 0.500  -0.20
Zr: 0.000 0.000 0.000  0.02
Rh: 0.500 0.500 0.500  0.07

Output
The polymorph energy (0 for the lowest one) comes out at 350 meV per atom. The total energy comes out at -5.8071 eV per atom.